Entry 1:
Density functional theory data (GGA-PBE) for an optimized crystal structure of Li2SnHg.

## Properties
Theoretical density, Mg/m³: 7.244
Calculated total energy, eV per atom: -2.364
Fermi-level density of states, states/eV per cell: 1.172
Symmetry: No. 123
ΔE to the lowest computed polymorph, eV/f.u.: 0.06
Energy relative to the elements, eV/f.u.: -1.325

a b c (Å): 3.4829 4.6828 4.6828
angles (deg): 90.00 90.00 90.00
Sites, in units of the cell vectors:
Li (0.0000, 0.0000, 0.5000)
Li (0.0000, 0.5000, 0.0000)
Hg (0.5000, 0.5000, 0.5000)
Sn (0.5000, 0.0000, 0.0000)

***

Entry 2:
Density functional theory data (GGA-PBE) for an optimized crystal structure of Rb4Ac3DyO8.

## Properties
Theoretical density, Mg/m³: 6.576
Calculated total energy, eV per atom: -6.323
Fermi-level density of states, states/eV per cell: 0.000
Symmetry: No. 166
Raw formation energy, kJ per mole of atoms: -245.5

a b c (Å): 7.5951 7.9566 7.5952
angles (deg): 118.51 120.00 90.00
Sites, in units of the cell vectors:
Rb (0.5000, 0.0000, 0.0000)
Rb (0.5000, 0.0000, 0.5000)
Rb (0.0000, 0.0000, 0.0000)
Rb (0.0000, 0.0000, 0.5000)
Ac (0.5000, 0.5000, 0.0000)
Ac (0.5000, 0.5000, 0.5000)
Ac (0.0000, 0.5000, 0.5000)
Dy (0.0000, 0.5000, 0.0000)
O (0.2175, 0.6805, 0.9630)
O (0.2174, 0.6804, 0.4349)
O (0.2710, 0.3130, 0.5420)
O (0.7456, 0.6805, 0.9630)
O (0.2544, 0.3195, 0.0370)
O (0.7290, 0.6870, 0.4580)
O (0.7826, 0.3196, 0.5651)
O (0.7825, 0.3195, 0.0370)

***

Entry 3:
Density functional theory data (GGA-PBE) for an optimized crystal structure of ZrTeI2O.

## Properties
Theoretical density, Mg/m³: 5.678
Calculated total energy, eV per atom: -4.775
Fermi-level density of states, states/eV per cell: 4.307
Symmetry: No. 123
ΔE to the lowest computed polymorph, eV/f.u.: 0.00
Raw formation energy, kJ per mole of atoms: -79.6

a b c (Å): 5.9631 5.9631 4.0191
angles (deg): 90.00 90.00 90.00
Each line ends with the local moment (μB).
Sites, in units of the cell vectors:
I (0.0000, 0.5000, 0.0000)  0.00
I (0.5000, 0.0000, 0.0000)  0.00
Te (0.5000, 0.5000, 0.5000)  0.05
O (0.0000, 0.0000, 0.5000)  0.00
Zr (0.0000, 0.0000, 0.0000)  0.08

***

Entry 4:
Density functional theory data (GGA-PBE) for an optimized crystal structure of TaHgRh2.

## Properties
Theoretical density, Mg/m³: 14.617
Calculated total energy, eV per atom: -6.798
Fermi-level density of states, states/eV per cell: 2.123
Symmetry: No. 25
Energy relative to the elements, eV/f.u.: -0.335

a b c (Å): 2.9036 4.1387 5.5524
angles (deg): 90.00 90.00 90.00
Sites, in units of the cell vectors:
Ta (0.5000, 0.0000, 0.4590)
Hg (0.0000, 0.5000, 0.7670)
Rh (0.5000, 0.0000, 0.0064)
Rh (0.0000, 0.5000, 0.2675)

***

Entry 5:
Density functional theory data (GGA-PBE) for an optimized crystal structure of HfSc2TaCo.

## Properties
Theoretical density, Mg/m³: 7.686
Calculated total energy, eV per atom: -6.973
Fermi-level density of states, states/eV per cell: 8.773
Symmetry: No. 123
Energy relative to the elements, eV/f.u.: 6.708

a b c (Å): 5.0227 4.3529 5.0227
angles (deg): 90.00 90.00 90.00
Sites, in units of the cell vectors:
Sc (0.0000, 0.0000, 0.5000)
Sc (0.5000, 0.0000, 0.0000)
Co (0.0000, 0.5000, 0.0000)
Hf (0.0000, 0.0000, 0.0000)
Ta (0.5000, 0.5000, 0.5000)

***

Entry 6:
Density functional theory data (GGA-PBE) for an optimized crystal structure of HoTeRhO6.

## Properties
Theoretical density, Mg/m³: 7.428
Calculated total energy, eV per atom: -6.426
Symmetry: No. 163
Raw formation energy, kJ per mole of atoms: -139.6

a b c (Å): 5.4567 5.4567 8.5208
angles (deg): 90.00 90.00 120.00
Sites, in units of the cell vectors:
Ho (0.3333, 0.6667, 0.2500)
Ho (0.6667, 0.3333, 0.7500)
Te (0.6667, 0.3333, 0.2500)
Te (0.3333, 0.6667, 0.7500)
Rh (0.0000, 0.0000, 0.0000)
Rh (0.0000, 0.0000, 0.5000)
O (0.6817, 0.6444, 0.1226)
O (0.9627, 0.3183, 0.1226)
O (0.3183, 0.9627, 0.6226)
O (0.0373, 0.6817, 0.8774)
O (0.3556, 0.3183, 0.3774)
O (0.9627, 0.6444, 0.3774)
O (0.6444, 0.9627, 0.8774)
O (0.6817, 0.0373, 0.3774)
O (0.0373, 0.3556, 0.6226)
O (0.3556, 0.0373, 0.1226)
O (0.6444, 0.6817, 0.6226)
O (0.3183, 0.3556, 0.8774)